Record 1
## Er4CoAu (PBE-GGA)

Data for crystalline Er4CoAu at its relaxed geometry.

POSCAR file:
```
Er4CoAu
1.0
4.771 0.000 0.001
0.000 4.773 0.002
0.006 0.011 6.846
Er Co Au
4 1 1
direct
0.001 0.497 0.264
0.002 0.498 0.733
0.502 0.998 0.733
0.501 0.997 0.264
0.001 0.997 0.498
0.501 0.497 0.998
```

Results
Density of states at the Fermi level in states/eV per cell: 6.44
Calculated density in g cm⁻³: 9.9
Uncorrected energy in eV/cell: -30.3

Record 2
## Er7Co2Au2 (PBE-GGA)

Data for crystalline Er7Co2Au2 at its relaxed geometry.

POSCAR file:
```
Er7Co2Au2
1.0
3.576 0.000 0.767
0.897 7.983 4.539
-0.108 -0.043 9.226
Au Er Co
2 7 2
direct
0.000 0.769 0.231
0.500 0.343 0.657
0.855 0.400 0.890
0.811 0.092 0.285
0.145 0.110 0.600
0.189 0.715 0.908
0.500 0.018 0.982
0.378 0.721 0.524
0.622 0.476 0.279
0.254 0.351 0.141
0.746 0.859 0.649
```

Results
Density of states at the Fermi level in states/eV per cell: 11.97
Calculated density in g cm⁻³: 10.6
Uncorrected energy in eV/cell: -57.4

Record 3
## Er4Co2Au (PBE-GGA)

Data for crystalline Er4Co2Au at its relaxed geometry.

POSCAR file:
```
Er4Co2Au
1.0
7.477 -1.258 -0.178
-1.772 7.357 0.139
-2.770 -3.170 5.855
Er Co Au
8 4 2
direct
0.844 0.629 0.133
0.877 0.594 0.632
0.389 0.988 0.237
0.239 0.138 0.737
0.974 0.246 0.370
0.751 0.159 0.766
0.408 0.502 0.265
0.496 0.724 0.870
0.507 0.369 0.624
0.618 0.258 0.125
0.140 0.489 0.873
0.744 0.892 0.380
0.257 0.755 0.494
0.006 0.007 0.994
```

Results
Density of states at the Fermi level in states/eV per cell: 9.31
Calculated density in g cm⁻³: 10.6
Uncorrected energy in eV/cell: -76.1

> Among the records above, which one has the lowest uncorrected energy?

Er4Co2Au

> Look up the calculated density of the second one.

10.6 g cm⁻³